Computed, not measured: a crystal of YSiPt relaxed with PBEsol at the SCAN level of DFT.

Computed properties:
As for the energy relative to the elements, uncorrected: -4.2 eV/f.u. Its crystal system is orthorhombic. The total energy is -449.10 eV/cell. The magnetic moment is 0.000 μB per atom.

abc: 6.923 4.254 7.384
angles: 90.00 90.00 90.00
Space group Pnma (No. 62)
Inequivalent atoms, fractional coordinates:
Y 0.003 0.250 0.199 [4 per cell]
Si 0.185 0.250 0.588 [4 per cell]
Pt 0.198 0.750 0.414 [4 per cell]


Computed, not measured: a crystal of Li2NbNi relaxed with PBEsol at the SCAN level of DFT.

Computed properties:
For the formation energy from the elements, the calculation gives 251 kJ/mol of formula units. Its crystal system is tetragonal. The total energy is -205.92 eV/cell. The magnetic moment is 0.001 μB per atom.

abc: 6.809 6.809 4.827
angles: 90.00 90.00 90.00
Space group I-42d (No. 122)
Inequivalent atoms, fractional coordinates:
Li 0.209 0.250 0.125 [8 per cell]
Nb 0.000 0.000 0.500 [4 per cell]
Ni 0.000 0.000 0.000 [4 per cell]


Computed, not measured: a crystal of AlCoPt2 relaxed with PBEsol at the SCAN level of DFT.

Computed properties:
For the formation energy from the elements, the calculation gives -284 kJ/mol of formula units. Its crystal system is orthorhombic. The total energy is -336.78 eV/cell. The magnetic moment is 0.567 μB per atom.

abc: 5.452 7.128 2.760
angles: 90.00 90.00 90.00
Space group Cmmm (No. 65)
Inequivalent atoms, fractional coordinates:
Al 0.000 0.000 0.000 [2 per cell]
Co 0.000 0.500 0.000 [2 per cell]
Pt 0.250 0.250 0.500 [4 per cell]


Computed, not measured: a crystal of Ba2LuRuO6 relaxed with PBEsol at the SCAN level of DFT.

Computed properties:
As for the energy relative to the elements, uncorrected: -28.1 eV/f.u. Its crystal system is cubic. The total energy is -939.00 eV/cell. The magnetic moment is 0.300 μB per atom.

abc: 8.224 8.224 8.224
angles: 90.00 90.00 90.00
Space group Fm-3m (No. 225)
Inequivalent atoms, fractional coordinates:
Ba 0.250 0.250 0.250 [8 per cell]
Lu 0.000 0.000 0.000 [4 per cell]
Ru 0.000 0.000 0.500 [4 per cell]
O 0.000 0.000 0.262 [24 per cell]


Computed, not measured: a crystal of NaV2O4 relaxed with PBEsol at the SCAN level of DFT.

Computed properties:
As for the energy relative to the elements, uncorrected: -17.6 eV/f.u. The value obtained for the polymorph energy (0 for the lowest one) is 59.9 meV per atom. Its crystal system is monoclinic. The total energy is -326.99 eV/cell. The magnetic moment is 0.429 μB per atom.

abc: 11.771 5.707 4.959
angles: 90.00 104.35 90.00
Space group Cc (No. 9)
Inequivalent atoms, fractional coordinates:
Na 0.000 0.195 0.000 [4 per cell]
V 0.248 0.145 0.514 [4 per cell]
V 0.252 0.368 0.005 [4 per cell]
O 0.157 0.116 0.794 [4 per cell]
O 0.158 0.386 0.281 [4 per cell]
O 0.338 0.117 0.228 [4 per cell]
O 0.349 0.386 0.734 [4 per cell]


Computed, not measured: a crystal of MgRePb2 relaxed with PBEsol at the SCAN level of DFT.

Computed properties:
For the formation energy from the elements, the calculation gives 276 kJ/mol of formula units. Its crystal system is orthorhombic. The total energy is -449.55 eV/cell. The magnetic moment is 0.000 μB per atom.

abc: 3.735 5.156 8.804
angles: 90.00 90.00 90.00
Space group Immm (No. 71)
Inequivalent atoms, fractional coordinates:
Mg 0.000 0.000 0.000 [2 per cell]
Re 0.000 0.000 0.500 [2 per cell]
Pb 0.000 0.500 0.242 [4 per cell]


Computed, not measured: a crystal of Nd3TaO7 relaxed with PBEsol at the SCAN level of DFT.

Computed properties:
As for the energy relative to the elements, uncorrected: -39.7 eV/f.u. Its crystal system is orthorhombic. The total energy is -1122.75 eV/cell. The magnetic moment is 0.000 μB per atom.

abc: 7.585 10.799 7.662
angles: 90.00 90.00 90.00
Space group Cmcm (No. 63)
Inequivalent atoms, fractional coordinates:
Nd 0.000 0.000 0.000 [4 per cell]
Nd 0.232 0.269 0.250 [8 per cell]
Ta 0.000 0.500 0.000 [4 per cell]
O 0.000 0.129 0.750 [4 per cell]
O 0.000 0.134 0.250 [4 per cell]
O 0.000 0.441 0.250 [4 per cell]
O 0.193 0.378 0.530 [16 per cell]


Computed, not measured: a crystal of CrBiSN2 relaxed with PBEsol at the SCAN level of DFT.

Computed properties:
As for the energy relative to the elements, uncorrected: 1.9 eV/f.u. Its crystal system is tetragonal. The total energy is -123.23 eV/cell. The magnetic moment is 0.197 μB per atom.

abc: 3.813 3.813 4.694
angles: 90.00 90.00 90.00
Space group P4/mmm (No. 123)
Inequivalent atoms, fractional coordinates:
Cr 0.000 0.000 0.000 [1 per cell]
Bi 0.500 0.500 0.500 [1 per cell]
S 0.000 0.000 0.500 [1 per cell]
N 0.000 0.500 0.000 [2 per cell]